Here is a relaxed structure of ReAgHg from the Alexandria database. Energies are from PBE-GGA.

Summary:
Energy in eV/cell: -54.117
Magnetization in μB per atom: 0.000
E above lowest polymorph in kcal/mol of atoms: 1.170

a b c (Å): 3.074 4.665 14.860
angles (deg): 90.00 90.00 90.00
Element x y z (fractional)
Re1 0.000 0.000 0.000
Re2 0.000 0.500 0.500
Re3 0.500 0.000 0.500
Re4 0.500 0.500 0.000
Ag1 0.000 0.000 0.340
Ag2 0.000 0.500 0.840
Ag3 0.500 0.000 0.840
Ag4 0.500 0.500 0.340
Hg1 0.000 0.000 0.669
Hg2 0.000 0.500 0.169
Hg3 0.500 0.000 0.169
Hg4 0.500 0.500 0.669

Here is a relaxed structure of NaLuHgPt from the Alexandria database. Energies are from PBE-GGA.

Summary:
Energy in eV/cell: -56.696
Magnetization in μB per atom: 0.000

a b c (Å): 6.950 6.950 6.950
angles (deg): 90.00 90.00 90.00
Element x y z (fractional)
Na1 0.000 0.000 0.000
Na2 0.000 0.500 0.500
Na3 0.500 0.000 0.500
Na4 0.500 0.500 0.000
Lu1 0.000 0.000 0.500
Lu2 0.000 0.500 0.000
Lu3 0.500 0.000 0.000
Lu4 0.500 0.500 0.500
Hg1 0.250 0.250 0.750
Hg2 0.250 0.750 0.250
Hg3 0.750 0.250 0.250
Hg4 0.750 0.750 0.750
Pt1 0.250 0.250 0.250
Pt2 0.250 0.750 0.750
Pt3 0.750 0.250 0.750
Pt4 0.750 0.750 0.250

Here is a relaxed structure of MnHg2Os from the Alexandria database. Energies are from PBE-GGA.

Summary:
Energy in eV/cell: -37.155
Magnetization in μB per atom: 0.834
E above lowest polymorph in kcal/mol of atoms: 5.245

a b c (Å): 10.767 2.965 4.907
angles (deg): 90.00 113.69 90.00
Element x y z (fractional)
Mn1 0.000 0.000 0.000
Mn2 0.500 0.500 0.000
Hg1 0.047 0.500 0.539
Hg2 0.265 0.500 0.179
Hg3 0.547 0.000 0.539
Hg4 0.765 0.000 0.179
Os1 0.307 0.000 0.709
Os2 0.807 0.500 0.709

Here is a relaxed structure of TeIr2Au from the Alexandria database. Energies are from PBE-GGA.

Summary:
Energy in eV/cell: -86.842
Magnetization in μB per atom: 0.000
Formation energy from raw total energies in eV/atom: 0.608
E above lowest polymorph in kcal/mol of atoms: 7.281

a b c (Å): 6.555 6.555 6.555
angles (deg): 90.00 90.00 90.00
Element x y z (fractional)
Te1 0.000 0.000 0.000
Te2 0.000 0.500 0.500
Te3 0.500 0.000 0.500
Te4 0.500 0.500 0.000
Ir1 0.000 0.000 0.500
Ir2 0.000 0.500 0.000
Ir3 0.250 0.250 0.750
Ir4 0.250 0.750 0.250
Ir5 0.500 0.000 0.000
Ir6 0.500 0.500 0.500
Ir7 0.750 0.250 0.250
Ir8 0.750 0.750 0.750
Au1 0.250 0.250 0.250
Au2 0.250 0.750 0.750
Au3 0.750 0.250 0.750
Au4 0.750 0.750 0.250

Here is a relaxed structure of Cr3As5 from the Alexandria database. Energies are from PBE-GGA.

Summary:
Energy in eV/cell: -99.957
Magnetization in μB per atom: 1.019
E above lowest polymorph in kcal/mol of atoms: 5.847

a b c (Å): 6.676 10.545 3.966
angles (deg): 90.00 90.00 90.00
Element x y z (fractional)
Cr1 0.000 0.000 0.000
Cr2 0.000 0.200 0.500
Cr3 0.000 0.800 0.500
Cr4 0.500 0.300 0.500
Cr5 0.500 0.500 0.000
Cr6 0.500 0.700 0.500
As1 0.000 0.500 0.000
As2 0.223 0.000 0.500
As3 0.250 0.250 0.000
As4 0.250 0.750 0.000
As5 0.277 0.500 0.500
As6 0.500 0.000 0.000
As7 0.723 0.500 0.500
As8 0.750 0.250 0.000
As9 0.750 0.750 0.000
As10 0.777 0.000 0.500

Here is a relaxed structure of LiHfIr2 from the Alexandria database. Energies are from PBE-GGA.

Summary:
Energy in eV/cell: -129.231
Magnetization in μB per atom: 0.000
E above lowest polymorph in kcal/mol of atoms: 0.000

a b c (Å): 6.258 6.258 6.258
angles (deg): 90.00 90.00 90.00
Element x y z (fractional)
Li1 0.000 0.000 0.000
Li2 0.000 0.500 0.500
Li3 0.500 0.000 0.500
Li4 0.500 0.500 0.000
Hf1 0.000 0.000 0.500
Hf2 0.000 0.500 0.000
Hf3 0.500 0.000 0.000
Hf4 0.500 0.500 0.500
Ir1 0.250 0.250 0.250
Ir2 0.250 0.250 0.750
Ir3 0.250 0.750 0.250
Ir4 0.250 0.750 0.750
Ir5 0.750 0.250 0.250
Ir6 0.750 0.250 0.750
Ir7 0.750 0.750 0.250
Ir8 0.750 0.750 0.750

Here is a relaxed structure of LiErCdSn from the Alexandria database. Energies are from PBE-GGA.

Summary:
Energy in eV/cell: -52.479
Magnetization in μB per atom: 0.000
E above lowest polymorph in kcal/mol of atoms: 0.126

a b c (Å): 7.185 7.185 7.185
angles (deg): 90.00 90.00 90.00
Element x y z (fractional)
Li1 0.000 0.000 0.000
Li2 0.000 0.500 0.500
Li3 0.500 0.000 0.500
Li4 0.500 0.500 0.000
Er1 0.000 0.000 0.500
Er2 0.000 0.500 0.000
Er3 0.500 0.000 0.000
Er4 0.500 0.500 0.500
Cd1 0.250 0.250 0.750
Cd2 0.250 0.750 0.250
Cd3 0.750 0.250 0.250
Cd4 0.750 0.750 0.750
Sn1 0.250 0.250 0.250
Sn2 0.250 0.750 0.750
Sn3 0.750 0.250 0.750
Sn4 0.750 0.750 0.250

Here is a relaxed structure of Nb5Pt4Au from the Alexandria database. Energies are from PBE-GGA.

Summary:
Energy in eV/cell: -83.250
Magnetization in μB per atom: 0.000

a b c (Å): 2.843 2.843 20.714
angles (deg): 90.00 90.00 90.00
Element x y z (fractional)
Nb1 0.000 0.000 0.000
Nb2 0.000 0.000 0.198
Nb3 0.000 0.000 0.396
Nb4 0.000 0.000 0.604
Nb5 0.000 0.000 0.802
Pt1 0.500 0.500 0.099
Pt2 0.500 0.500 0.297
Pt3 0.500 0.500 0.703
Pt4 0.500 0.500 0.901
Au1 0.500 0.500 0.500

Here is a relaxed structure of TlP2S2 from the Alexandria database. Energies are from PBE-GGA.

Summary:
Energy in eV/cell: -13.846
Magnetization in μB per atom: 0.003
Formation energy from raw total energies in eV/atom: 1.519
E above lowest polymorph in kcal/mol of atoms: 25.914

a b c (Å): 5.020 5.020 5.150
angles (deg): 90.00 90.00 90.00
Element x y z (fractional)
Tl1 0.000 0.000 0.000
P1 0.000 0.000 0.500
P2 0.500 0.500 0.500
S1 0.000 0.500 0.000
S2 0.500 0.000 0.000

Here is a relaxed structure of PmPrP2Pd2 from the Alexandria database. Energies are from PBE-GGA.

Summary:
Energy in eV/cell: -38.161
Magnetization in μB per atom: 0.000

a b c (Å): 4.238 4.238 7.860
angles (deg): 90.00 90.00 120.00
Element x y z (fractional)
Pm1 0.000 0.000 0.000
Pr1 0.000 0.000 0.500
P1 0.333 0.667 0.754
P2 0.667 0.333 0.246
Pd1 0.333 0.667 0.246
Pd2 0.667 0.333 0.754

Here is a relaxed structure of Al3ZnRh from the Alexandria database. Energies are from PBE-GGA.

Summary:
Energy in eV/cell: -16.587
Magnetization in μB per atom: 0.000
E above lowest polymorph in kcal/mol of atoms: 25.520

a b c (Å): 4.525 4.525 4.525
angles (deg): 90.00 90.00 90.00
Element x y z (fractional)
Al1 0.000 0.000 0.500
Al2 0.000 0.500 0.000
Al3 0.500 0.000 0.000
Zn1 0.000 0.000 0.000
Rh1 0.500 0.500 0.500

Here is a relaxed structure of K2AgP from the Alexandria database. Energies are from PBE-GGA.

Summary:
Energy in eV/cell: -19.849
Magnetization in μB per atom: 0.000

a b c (Å): 4.686 4.686 9.701
angles (deg): 90.00 90.00 90.00
Element x y z (fractional)
K1 0.000 0.500 0.250
K2 0.000 0.500 0.750
K3 0.500 0.000 0.250
K4 0.500 0.000 0.750
Ag1 0.000 0.000 0.000
Ag2 0.500 0.500 0.500
P1 0.000 0.000 0.500
P2 0.500 0.500 0.000

Here is a relaxed structure of Hg4C from the Alexandria database. Energies are from PBE-GGA.

Summary:
Energy in eV/cell: -9.996
Magnetization in μB per atom: 0.000
E above lowest polymorph in kcal/mol of atoms: 4.576

a b c (Å): 8.536 8.536 2.978
angles (deg): 90.00 90.00 90.00
Element x y z (fractional)
Hg1 0.003 0.263 0.000
Hg2 0.237 0.503 0.500
Hg3 0.263 0.997 0.000
Hg4 0.497 0.237 0.500
Hg5 0.503 0.763 0.500
Hg6 0.737 0.003 0.000
Hg7 0.763 0.497 0.500
Hg8 0.997 0.737 0.000
C1 0.000 0.000 0.500
C2 0.500 0.500 0.000

Here is a relaxed structure of La4OsI2Cl from the Alexandria database. Energies are from PBE-GGA.

Summary:
Energy in eV/cell: -44.001
Magnetization in μB per atom: 0.000
Formation energy from raw total energies in eV/atom: -1.014

a b c (Å): 7.607 4.230 8.382
angles (deg): 90.00 106.69 90.00
Element x y z (fractional)
La1 0.206 0.000 0.192
La2 0.250 0.500 0.803
La3 0.750 0.500 0.197
La4 0.794 0.000 0.808
Os1 0.000 0.500 0.000
I1 0.000 0.000 0.500
I2 0.500 0.500 0.500
Cl1 0.500 0.000 0.000

Here is a relaxed structure of As2AuBr2 from the Alexandria database. Energies are from PBE-GGA.

Summary:
Energy in eV/cell: -32.350
Magnetization in μB per atom: 0.000
Formation energy from raw total energies in eV/atom: -0.051

a b c (Å): 6.809 6.809 5.287
angles (deg): 90.00 90.00 90.00
Element x y z (fractional)
As1 0.137 0.363 0.000
As2 0.363 0.863 0.000
As3 0.637 0.137 0.000
As4 0.863 0.637 0.000
Au1 0.000 0.000 0.000
Au2 0.500 0.500 0.000
Br1 0.179 0.321 0.500
Br2 0.321 0.821 0.500
Br3 0.679 0.179 0.500
Br4 0.821 0.679 0.500

Here is a relaxed structure of Tb3DyYHo from the Alexandria database. Energies are from PBE-GGA.

Summary:
Energy in eV/cell: -56.497
Magnetization in μB per atom: 0.000

a b c (Å): 10.293 10.293 6.884
angles (deg): 90.21 90.21 32.18
Element x y z (fractional)
Tb1 0.019 0.019 0.245
Tb2 0.281 0.281 0.253
Tb3 0.337 0.337 0.758
Tb4 0.663 0.663 0.242
Tb5 0.719 0.719 0.747
Tb6 0.981 0.981 0.755
Dy1 0.445 0.445 0.243
Dy2 0.555 0.555 0.757
Y1 0.147 0.147 0.527
Y2 0.853 0.853 0.473
Ho1 0.148 0.148 0.969
Ho2 0.852 0.852 0.031

Here is a relaxed structure of Tb2AgAs from the Alexandria database. Energies are from PBE-GGA.

Summary:
Energy in eV/cell: -59.572
Magnetization in μB per atom: 0.000

a b c (Å): 4.124 4.124 21.406
angles (deg): 90.00 90.00 120.00
Element x y z (fractional)
Tb1 0.000 0.000 0.242
Tb2 0.000 0.000 0.758
Tb3 0.333 0.667 0.425
Tb4 0.333 0.667 0.909
Tb5 0.667 0.333 0.091
Tb6 0.667 0.333 0.575
Ag1 0.000 0.000 0.000
Ag2 0.333 0.667 0.667
Ag3 0.667 0.333 0.333
As1 0.000 0.000 0.500
As2 0.333 0.667 0.167
As3 0.667 0.333 0.833

Here is a relaxed structure of TiNb2Au from the Alexandria database. Energies are from PBE-GGA.

Summary:
Energy in eV/cell: -31.442
Magnetization in μB per atom: 0.000
E above lowest polymorph in kcal/mol of atoms: 3.261

a b c (Å): 3.405 3.405 6.104
angles (deg): 90.00 90.00 90.00
Element x y z (fractional)
Ti1 0.000 0.000 0.000
Nb1 0.500 0.500 0.240
Nb2 0.500 0.500 0.760
Au1 0.000 0.000 0.500

Here is a relaxed structure of Na2TlHg7 from the Alexandria database. Energies are from PBE-GGA.

Summary:
Energy in eV/cell: -8.219
Magnetization in μB per atom: 0.000

a b c (Å): 5.131 5.131 12.681
angles (deg): 90.00 90.00 120.00
Element x y z (fractional)
Na1 0.000 0.000 0.000
Na2 0.333 0.667 0.687
Tl1 0.667 0.333 0.332
Hg1 0.000 0.000 0.238
Hg2 0.000 0.000 0.516
Hg3 0.000 0.000 0.764
Hg4 0.333 0.667 0.125
Hg5 0.333 0.667 0.422
Hg6 0.667 0.333 0.604
Hg7 0.667 0.333 0.867

Here is a relaxed structure of CaZn2Cl from the Alexandria database. Energies are from PBE-GGA.

Summary:
Energy in eV/cell: -28.267
Magnetization in μB per atom: 0.000
Formation energy from raw total energies in eV/atom: -0.168
E above lowest polymorph in kcal/mol of atoms: 12.307

a b c (Å): 7.416 7.416 7.416
angles (deg): 90.00 90.00 90.00
Element x y z (fractional)
Ca1 0.000 0.000 0.000
Ca2 0.000 0.500 0.500
Ca3 0.500 0.000 0.500
Ca4 0.500 0.500 0.000
Zn1 0.250 0.250 0.250
Zn2 0.250 0.250 0.750
Zn3 0.250 0.750 0.250
Zn4 0.250 0.750 0.750
Zn5 0.750 0.250 0.250
Zn6 0.750 0.250 0.750
Zn7 0.750 0.750 0.250
Zn8 0.750 0.750 0.750
Cl1 0.000 0.000 0.500
Cl2 0.000 0.500 0.000
Cl3 0.500 0.000 0.000
Cl4 0.500 0.500 0.500

Here is a relaxed structure of ErFeCoSi3 from the Alexandria database. Energies are from PBE-GGA.

Summary:
Energy in eV/cell: -76.939
Magnetization in μB per atom: 0.001
Formation energy from raw total energies in eV/atom: -0.345

a b c (Å): 6.524 6.524 5.638
angles (deg): 90.00 90.00 125.78
Element x y z (fractional)
Er1 0.220 0.780 0.750
Er2 0.780 0.220 0.250
Fe1 0.027 0.973 0.250
Fe2 0.973 0.027 0.750
Co1 0.389 0.611 0.250
Co2 0.611 0.389 0.750
Si1 0.209 0.791 0.250
Si2 0.295 0.295 0.000
Si3 0.295 0.295 0.500
Si4 0.705 0.705 0.000
Si5 0.705 0.705 0.500
Si6 0.791 0.209 0.750

Here is a relaxed structure of SnOsCl2 from the Alexandria database. Energies are from PBE-GGA.

Summary:
Energy in eV/cell: -71.919
Magnetization in μB per atom: 0.000
Formation energy from raw total energies in eV/atom: 0.237
E above lowest polymorph in kcal/mol of atoms: 0.000

a b c (Å): 8.396 8.396 5.223
angles (deg): 90.00 90.00 90.00
Element x y z (fractional)
Sn1 0.000 0.000 0.000
Sn2 0.000 0.500 0.250
Sn3 0.500 0.000 0.750
Sn4 0.500 0.500 0.500
Os1 0.000 0.000 0.500
Os2 0.000 0.500 0.750
Os3 0.500 0.000 0.250
Os4 0.500 0.500 0.000
Cl1 0.128 0.250 0.625
Cl2 0.250 0.628 0.875
Cl3 0.250 0.872 0.375
Cl4 0.372 0.250 0.125
Cl5 0.628 0.750 0.125
Cl6 0.750 0.128 0.375
Cl7 0.750 0.372 0.875
Cl8 0.872 0.750 0.625

Here is a relaxed structure of TcPW2 from the Alexandria database. Energies are from PBE-GGA.

Summary:
Energy in eV/cell: -81.418
Magnetization in μB per atom: 0.000

a b c (Å): 3.690 3.690 8.650
angles (deg): 90.00 90.00 90.00
Element x y z (fractional)
Tc1 0.000 0.000 0.000
Tc2 0.500 0.500 0.500
P1 0.000 0.500 0.250
P2 0.500 0.000 0.750
W1 0.000 0.000 0.500
W2 0.000 0.500 0.750
W3 0.500 0.000 0.250
W4 0.500 0.500 0.000

Here is a relaxed structure of RbNa10Cd3 from the Alexandria database. Energies are from PBE-GGA.

Summary:
Energy in eV/cell: -33.582
Magnetization in μB per atom: 0.000

a b c (Å): 11.488 11.488 11.488
angles (deg): 60.00 60.00 60.00
Element x y z (fractional)
Rb1 0.250 0.250 0.250
Rb2 0.750 0.750 0.750
Na1 0.000 0.000 0.338
Na2 0.000 0.000 0.662
Na3 0.000 0.338 0.000
Na4 0.000 0.338 0.662
Na5 0.000 0.662 0.000
Na6 0.000 0.662 0.338
Na7 0.169 0.610 0.610
Na8 0.338 0.000 0.000
Na9 0.338 0.000 0.662
Na10 0.338 0.662 0.000
Na11 0.390 0.390 0.390
Na12 0.390 0.390 0.831
Na13 0.390 0.831 0.390
Na14 0.610 0.169 0.610
Na15 0.610 0.610 0.169
Na16 0.610 0.610 0.610
Na17 0.662 0.000 0.000
Na18 0.662 0.000 0.338
Na19 0.662 0.338 0.000
Na20 0.831 0.390 0.390
Cd1 0.268 0.268 0.732
Cd2 0.268 0.732 0.268
Cd3 0.268 0.732 0.732
Cd4 0.732 0.268 0.268
Cd5 0.732 0.268 0.732
Cd6 0.732 0.732 0.268

Here is a relaxed structure of NiSe2Br from the Alexandria database. Energies are from PBE-GGA.

Summary:
Energy in eV/cell: -27.041
Magnetization in μB per atom: 0.263
Formation energy from raw total energies in eV/atom: 0.226
E above lowest polymorph in kcal/mol of atoms: 10.695

a b c (Å): 3.285 7.602 8.936
angles (deg): 90.00 90.00 90.00
Element x y z (fractional)
Ni1 0.000 0.000 0.000
Ni2 0.500 0.500 0.000
Se1 0.000 0.000 0.591
Se2 0.000 0.500 0.819
Se3 0.500 0.000 0.819
Se4 0.500 0.500 0.591
Br1 0.000 0.500 0.189
Br2 0.500 0.000 0.189